VASP calculation (GGA-PBE) on crystalline Ti2VAsSe at its relaxed geometry.

Energy relative to the elements, uncorrected: 0.295 eV/atom
Symmetry: P4/mmm

a b c (Å): 4.7793 4.6833 4.7793
angles (deg): 90.00 90.00 90.00
Closest atoms and distances in Å follow each position.
Positions (direct):
Se1 0.5000 0.5000 0.5000  8 Ti 3.35, 4 V 3.38
V1 0.0000 0.5000 0.0000  2 As 2.34
Ti1 0.5000 0.0000 0.0000  2 As 2.39
Ti2 0.0000 0.0000 0.5000  2 As 2.39
As1 0.0000 0.0000 0.0000  2 V 2.34, 4 Ti 2.39

VASP calculation (GGA-PBE) on crystalline TiAs2WSe at its relaxed geometry.

Polymorph energy (0 for the lowest one): 0 meV per atom
Energy relative to the elements, uncorrected: 0.716 eV/atom
Symmetry: P4/mmm

a b c (Å): 4.8739 4.8739 4.9121
angles (deg): 90.00 90.00 90.00
Closest atoms and distances in Å follow each position.
Positions (direct):
W1 0.0000 0.0000 0.0000  4 As 2.44, 2 Se 2.46
Ti1 0.5000 0.5000 0.5000  4 Se 3.45, 8 As 3.46
As1 0.5000 0.0000 0.0000  2 W 2.44
As2 0.0000 0.5000 0.0000  2 W 2.44
Se1 0.0000 0.0000 0.5000  2 W 2.46

VASP calculation (GGA-PBE) on crystalline TiZnAsSe2 at its relaxed geometry.

Polymorph energy (0 for the lowest one): 0 meV per atom
Energy relative to the elements, uncorrected: -0.061 eV/atom
Symmetry: P4/mmm

a b c (Å): 4.9018 4.9018 5.0210
angles (deg): 90.00 90.00 90.00
Closest atoms and distances in Å follow each position.
Positions (direct):
As1 0.0000 0.0000 0.5000  2 Ti 2.51
Se1 0.5000 0.0000 0.0000  2 Ti 2.45
Se2 0.0000 0.5000 0.0000  2 Ti 2.45
Ti1 0.0000 0.0000 0.0000  4 Se 2.45, 2 As 2.51
Zn1 0.5000 0.5000 0.5000  4 As 3.47, 8 Se 3.51